(1)
A plane-wave DFT calculation with PBE was carried out for crystalline CsVFe2Ir at its relaxed geometry.

POSCAR file:
```
CsVFe2Ir
1.0
4.9040 0.0000 0.0000
0.0000 4.8010 0.0000
0.0000 0.0000 4.9040
Cs V Ir Fe
1 1 1 2
direct
0.5000 0.5000 0.5000
0.0000 0.5000 0.0000
0.0000 0.0000 0.0000
0.5000 0.0000 0.0000
0.0000 0.0000 0.5000
```

symmetry: P4/mmm
total moment: 8.51 μB/f.u.
ΔE_f: 1.1185 eV/atom
theoretical density: 7.0 g/cm3
electronic total energy: -6.0332 eV per atom


(2)
A plane-wave DFT calculation with PBE was carried out for crystalline CsKFe4S6 at its relaxed geometry.

POSCAR file:
```
CsKFe4S6
1.0
7.4192 -0.1005 0.0000
-1.7123 7.2196 0.0000
0.0000 0.0000 5.1653
S Fe K Cs
6 4 1 1
direct
0.6251 0.8230 0.0000
0.1023 0.8977 0.0000
0.3676 0.1576 0.5000
0.8424 0.6324 0.5000
0.8951 0.1049 0.5000
0.1770 0.3749 0.0000
0.8595 0.8617 0.7505
0.1383 0.1405 0.2495
0.8595 0.8617 0.2495
0.1383 0.1405 0.7505
0.3181 0.6819 0.5000
0.6766 0.3234 0.0000
```

symmetry: Amm2
total moment: 0.00 μB/f.u.
energy relative to the elements, uncorrected: -0.6929 eV/atom
theoretical density: 3.5 g/cm3
electronic total energy: -5.7401 eV per atom


(3)
A plane-wave DFT calculation with PBE was carried out for crystalline CsKTa2Fe at its relaxed geometry.

POSCAR file:
```
CsKTa2Fe
1.0
4.6725 0.0000 0.0000
0.0000 6.8473 0.0000
0.0000 0.0000 4.6725
Fe Ta K Cs
1 2 1 1
direct
0.0000 0.0000 0.0000
0.0000 0.0000 0.5000
0.5000 0.0000 0.0000
0.5000 0.5000 0.5000
0.0000 0.5000 0.0000
```

symmetry: P4/mmm
total moment: 1.10 μB/f.u.
ΔE_f: 1.3386 eV/atom
theoretical density: 6.6 g/cm3
electronic total energy: -5.4852 eV per atom